P) SmThPt | GGA-PBE | relaxed

Geometry as CIF:
```
data_SmThPt
_space_group_name_H-M_alt 'P 1 21/c 1'
_space_group_IT_number 14
_cell_length_a 6.273
_cell_length_b 7.562
_cell_length_c 7.343
_cell_angle_alpha 90.00
_cell_angle_beta 90.06
_cell_angle_gamma 90.00
loop_
_space_group_symop_operation_xyz
'x,y,z'
'-x,-y,-z'
'-x,y+1/2,-z+1/2'
'x,-y+1/2,z+1/2'
loop_
_atom_site_label
_atom_site_type_symbol
_atom_site_fract_x
_atom_site_fract_y
_atom_site_fract_z
Sm1 Sm 0.107 0.104 0.250
Th1 Th 0.406 0.750 0.000
Pt1 Pt 0.329 0.047 0.750
```

***

Q) SmThPt | GGA-PBE | relaxed

Geometry as CIF:
```
data_SmThPt
_space_group_name_H-M_alt 'F -4 3 m'
_space_group_IT_number 216
_space_group_name_Hall 'F -4 2 3'
_cell_length_a 7.064
_cell_length_b 7.064
_cell_length_c 7.064
_cell_angle_alpha 90.00
_cell_angle_beta 90.00
_cell_angle_gamma 90.00
loop_
_atom_site_label
_atom_site_type_symbol
_atom_site_fract_x
_atom_site_fract_y
_atom_site_fract_z
Sm1 Sm 0.000 0.000 0.000
Th1 Th 0.000 0.000 0.500
Pt1 Pt 0.250 0.250 0.750
```

***

Most stable structure: P)

***

P) Sm2ThPt | GGA-PBE | relaxed

Geometry as CIF:
```
data_Sm2ThPt
_space_group_name_H-M_alt 'P 4/m m m'
_space_group_IT_number 123
_space_group_name_Hall '-P 4 2'
_cell_length_a 3.625
_cell_length_b 3.625
_cell_length_c 8.423
_cell_angle_alpha 90.00
_cell_angle_beta 90.00
_cell_angle_gamma 90.00
loop_
_atom_site_label
_atom_site_type_symbol
_atom_site_fract_x
_atom_site_fract_y
_atom_site_fract_z
Sm1 Sm 0.000 0.000 0.201
Th1 Th 0.500 0.500 0.500
Pt1 Pt 0.500 0.500 0.000
```

***

Q) Sm2ThPt | GGA-PBE | relaxed

Geometry as CIF:
```
data_Sm2ThPt
_space_group_name_H-M_alt 'P n m a'
_space_group_IT_number 62
_cell_length_a 7.093
_cell_length_b 10.025
_cell_length_c 6.639
_cell_angle_alpha 90.00
_cell_angle_beta 90.00
_cell_angle_gamma 90.00
loop_
_space_group_symop_operation_xyz
'x,y,z'
'-x,-y,-z'
'-x+1/2,-y,z+1/2'
'x+1/2,y,-z+1/2'
'x+1/2,-y+1/2,-z+1/2'
'-x+1/2,y+1/2,z+1/2'
'-x,y+1/2,-z'
'x,-y+1/2,z'
loop_
_atom_site_label
_atom_site_type_symbol
_atom_site_fract_x
_atom_site_fract_y
_atom_site_fract_z
Sm1 Sm 0.187 0.062 0.166
Th1 Th 0.031 0.250 0.652
Pt1 Pt 0.120 0.750 0.940
```

***

Most stable structure: Q)

***

P) SmTiPt2 | GGA-PBE | relaxed

Geometry as CIF:
```
data_SmTiPt2
_space_group_name_H-M_alt 'P 4/m m m'
_space_group_IT_number 123
_space_group_name_Hall '-P 4 2'
_cell_length_a 3.228
_cell_length_b 3.228
_cell_length_c 7.302
_cell_angle_alpha 90.00
_cell_angle_beta 90.00
_cell_angle_gamma 90.00
loop_
_atom_site_label
_atom_site_type_symbol
_atom_site_fract_x
_atom_site_fract_y
_atom_site_fract_z
Sm1 Sm 0.000 0.000 0.000
Ti1 Ti 0.000 0.000 0.500
Pt1 Pt 0.500 0.500 0.301
```

***

Q) SmTiPt2 | GGA-PBE | relaxed

Geometry as CIF:
```
data_SmTiPt2
_space_group_name_H-M_alt 'R -3 m'
_space_group_IT_number 166
_space_group_name_Hall '-R 3 2"'
_cell_length_a 4.4219
_cell_length_b 4.4219
_cell_length_c 14.6861
_cell_angle_alpha 90.00
_cell_angle_beta 90.00
_cell_angle_gamma 120.00
loop_
_atom_site_label
_atom_site_type_symbol
_atom_site_fract_x
_atom_site_fract_y
_atom_site_fract_z
Sm1 Sm 0.0000 0.0000 0.0000
Ti1 Ti 0.0000 0.0000 0.5000
Pt1 Pt 0.0000 0.0000 0.2117
```

***

Most stable structure: Q)

***

P) Sm5Tl2Pt | GGA-PBE | relaxed

Geometry as CIF:
```
data_Sm5Tl2Pt
_space_group_name_H-M_alt 'P b a m'
_space_group_IT_number 55
_cell_length_a 7.688
_cell_length_b 12.676
_cell_length_c 4.841
_cell_angle_alpha 90.00
_cell_angle_beta 90.00
_cell_angle_gamma 90.00
loop_
_space_group_symop_operation_xyz
'x,y,z'
'-x,-y,-z'
'-x,-y,z'
'x,y,-z'
'x+1/2,-y+1/2,-z'
'-x+1/2,y+1/2,z'
'-x+1/2,y+1/2,-z'
'x+1/2,-y+1/2,z'
loop_
_atom_site_label
_atom_site_type_symbol
_atom_site_fract_x
_atom_site_fract_y
_atom_site_fract_z
Sm1 Sm 0.000 0.000 0.000
Sm2 Sm 0.137 0.290 0.000
Sm3 Sm 0.181 0.575 0.500
Tl1 Tl 0.083 0.834 0.500
Pt1 Pt 0.000 0.500 0.000
```

***

Q) Sm5Tl2Pt | GGA-PBE | relaxed

Geometry as CIF:
```
data_Sm5Tl2Pt
_space_group_name_H-M_alt 'C m c m'
_space_group_IT_number 63
_space_group_name_Hall '-C 2c 2'
_cell_length_a 5.967
_cell_length_b 13.099
_cell_length_c 12.605
_cell_angle_alpha 90.00
_cell_angle_beta 90.00
_cell_angle_gamma 90.00
loop_
_atom_site_label
_atom_site_type_symbol
_atom_site_fract_x
_atom_site_fract_y
_atom_site_fract_z
Sm1 Sm 0.000 0.069 0.105
Sm2 Sm 0.000 0.380 0.068
Sm3 Sm 0.000 0.390 0.750
Tl1 Tl 0.000 0.187 0.624
Pt1 Pt 0.000 0.231 0.250
```

***

Most stable structure: P)

***

P) Sm2TlPt | GGA-PBE | relaxed

Geometry as CIF:
```
data_Sm2TlPt
_space_group_name_H-M_alt 'P 4/m m m'
_space_group_IT_number 123
_space_group_name_Hall '-P 4 2'
_cell_length_a 3.628
_cell_length_b 3.628
_cell_length_c 7.845
_cell_angle_alpha 90.00
_cell_angle_beta 90.00
_cell_angle_gamma 90.00
loop_
_atom_site_label
_atom_site_type_symbol
_atom_site_fract_x
_atom_site_fract_y
_atom_site_fract_z
Sm1 Sm 0.000 0.000 0.219
Tl1 Tl 0.500 0.500 0.500
Pt1 Pt 0.500 0.500 0.000
```

***

Q) Sm2TlPt | GGA-PBE | relaxed

Geometry as CIF:
```
data_Sm2TlPt
_space_group_name_H-M_alt 'F m -3 m'
_space_group_IT_number 225
_space_group_name_Hall '-F 4 2 3'
_cell_length_a 7.435
_cell_length_b 7.435
_cell_length_c 7.435
_cell_angle_alpha 90.00
_cell_angle_beta 90.00
_cell_angle_gamma 90.00
loop_
_atom_site_label
_atom_site_type_symbol
_atom_site_fract_x
_atom_site_fract_y
_atom_site_fract_z
Sm1 Sm 0.250 0.250 0.250
Tl1 Tl 0.000 0.000 0.000
Pt1 Pt 0.000 0.000 0.500
```

***

R) Sm2TlPt | GGA-PBE | relaxed

Geometry as CIF:
```
data_Sm2TlPt
_space_group_name_H-M_alt 'R -3 m'
_space_group_IT_number 166
_space_group_name_Hall '-R 3 2"'
_cell_length_a 4.0509
_cell_length_b 4.0509
_cell_length_c 24.8007
_cell_angle_alpha 90.00
_cell_angle_beta 90.00
_cell_angle_gamma 120.00
loop_
_atom_site_label
_atom_site_type_symbol
_atom_site_fract_x
_atom_site_fract_y
_atom_site_fract_z
Sm1 Sm 0.0000 0.0000 0.2341
Tl1 Tl 0.0000 0.0000 0.0000
Pt1 Pt 0.0000 0.0000 0.5000
```

***

S) Sm2TlPt | GGA-PBE | relaxed

Geometry as CIF:
```
data_Sm2TlPt
_space_group_name_H-M_alt 'R 3 m'
_space_group_IT_number 160
_space_group_name_Hall 'R 3 -2"'
_cell_length_a 4.1099
_cell_length_b 4.1099
_cell_length_c 24.4659
_cell_angle_alpha 90.00
_cell_angle_beta 90.00
_cell_angle_gamma 120.00
loop_
_atom_site_label
_atom_site_type_symbol
_atom_site_fract_x
_atom_site_fract_y
_atom_site_fract_z
Sm1 Sm 0.0000 0.0000 0.0000
Sm2 Sm 0.0000 0.0000 0.2012
Tl1 Tl 0.0000 0.0000 0.4343
Pt1 Pt 0.0000 0.0000 0.5997
```

***

Most stable structure: P)

***

P) SmTmPt2 | GGA-PBE | relaxed

Geometry as CIF:
```
data_SmTmPt2
_space_group_name_H-M_alt 'R -3 m'
_space_group_IT_number 166
_space_group_name_Hall '-R 3 2"'
_cell_length_a 4.0881
_cell_length_b 4.0881
_cell_length_c 19.9700
_cell_angle_alpha 90.00
_cell_angle_beta 90.00
_cell_angle_gamma 120.00
loop_
_atom_site_label
_atom_site_type_symbol
_atom_site_fract_x
_atom_site_fract_y
_atom_site_fract_z
Sm1 Sm 0.0000 0.0000 0.0000
Tm1 Tm 0.0000 0.0000 0.5000
Pt1 Pt 0.0000 0.0000 0.2456
```

***

Q) SmTmPt2 | GGA-PBE | relaxed

Geometry as CIF:
```
data_SmTmPt2
_space_group_name_H-M_alt 'F m -3 m'
_space_group_IT_number 225
_space_group_name_Hall '-F 4 2 3'
_cell_length_a 7.026
_cell_length_b 7.026
_cell_length_c 7.026
_cell_angle_alpha 90.00
_cell_angle_beta 90.00
_cell_angle_gamma 90.00
loop_
_atom_site_label
_atom_site_type_symbol
_atom_site_fract_x
_atom_site_fract_y
_atom_site_fract_z
Sm1 Sm 0.000 0.000 0.000
Tm1 Tm 0.000 0.000 0.500
Pt1 Pt 0.250 0.250 0.250
```

***

R) SmTmPt2 | GGA-PBE | relaxed

Geometry as CIF:
```
data_SmTmPt2
_space_group_name_H-M_alt 'P 4/m m m'
_space_group_IT_number 123
_space_group_name_Hall '-P 4 2'
_cell_length_a 3.499
_cell_length_b 3.499
_cell_length_c 7.056
_cell_angle_alpha 90.00
_cell_angle_beta 90.00
_cell_angle_gamma 90.00
loop_
_atom_site_label
_atom_site_type_symbol
_atom_site_fract_x
_atom_site_fract_y
_atom_site_fract_z
Sm1 Sm 0.000 0.000 0.000
Tm1 Tm 0.000 0.000 0.500
Pt1 Pt 0.500 0.500 0.266
```

***

S) SmTmPt2 | GGA-PBE | relaxed

Geometry as CIF:
```
data_SmTmPt2
_space_group_name_H-M_alt 'P 1 m 1'
_space_group_IT_number 6
_cell_length_a 3.791
_cell_length_b 4.487
_cell_length_c 5.634
_cell_angle_alpha 90.00
_cell_angle_beta 109.76
_cell_angle_gamma 90.00
loop_
_space_group_symop_operation_xyz
'x,y,z'
'x,-y,z'
loop_
_atom_site_label
_atom_site_type_symbol
_atom_site_fract_x
_atom_site_fract_y
_atom_site_fract_z
Sm1 Sm 0.000 0.000 0.000
Tm1 Tm 0.724 0.500 0.449
Pt1 Pt 0.272 0.000 0.544
Pt2 Pt 0.448 0.500 0.896
```

***

Most stable structure: S)